(1)
Below is CaPm2Ge after structural relaxation, with properties calculated at the PBE-GGA level.

Results
energy above the lowest structure with this stoichiometry: 21 meV per atom
total DFT energy (no corrections): -4.31 eV/atom
crystal system: trigonal

a b c (Å): 10.151 10.151 10.151
angles (deg): 23.50 23.50 23.50
Fractional coordinates of all 4 atoms:
Ca1 0.000 0.000 0.000
Pm1 0.555 0.555 0.555
Pm2 0.776 0.776 0.776
Ge1 0.165 0.165 0.165



(2)
Below is Nd6Ni2Sn after structural relaxation, with properties calculated at the PBE-GGA level.

Results
total DFT energy (no corrections): -5.23 eV/atom
crystal system: orthorhombic

a b c (Å): 8.728 8.728 8.728
angles (deg): 114.42 108.16 105.95
Fractional coordinates of all 18 atoms:
Nd1 0.025 0.229 0.797
Nd2 0.184 0.293 0.476
Nd3 0.184 0.707 0.891
Nd4 0.323 0.015 0.692
Nd5 0.323 0.631 0.308
Nd6 0.432 0.229 0.203
Nd7 0.568 0.771 0.797
Nd8 0.677 0.369 0.692
Nd9 0.677 0.985 0.308
Nd10 0.816 0.293 0.109
Nd11 0.816 0.707 0.524
Nd12 0.975 0.771 0.203
Ni1 0.118 0.618 0.500
Ni2 0.363 0.000 0.363
Ni3 0.637 0.000 0.637
Ni4 0.882 0.382 0.500
Sn1 0.000 0.000 0.000
Sn2 0.500 0.500 0.000



(3)
Below is BiPRu after structural relaxation, with properties calculated at the PBE-GGA level.

Results
total DFT energy (no corrections): -6.19 eV/atom
crystal system: triclinic

a b c (Å): 3.337 5.644 6.514
angles (deg): 87.89 75.26 89.87
Fractional coordinates of all 6 atoms:
Bi1 0.155 0.327 0.196
Bi2 0.845 0.673 0.804
P1 0.452 0.165 0.594
P2 0.548 0.835 0.406
Ru1 0.172 0.841 0.158
Ru2 0.828 0.159 0.842



(4)
Below is Pm2FeGe4Pt3 after structural relaxation, with properties calculated at the PBE-GGA level.

Results
total DFT energy (no corrections): -6.26 eV/atom
crystal system: tetragonal

a b c (Å): 4.221 4.221 10.435
angles (deg): 90.00 90.00 90.00
Fractional coordinates of all 10 atoms:
Pm1 0.000 0.500 0.247
Pm2 0.500 0.000 0.753
Fe1 0.500 0.500 0.000
Ge1 0.000 0.000 0.500
Ge2 0.000 0.500 0.874
Ge3 0.500 0.000 0.126
Ge4 0.500 0.500 0.500
Pt1 0.000 0.000 0.000
Pt2 0.000 0.500 0.636
Pt3 0.500 0.000 0.364



Question: Which value of total DFT energy (no corrections) does entry 3 give?
Answer: -6.19 eV/atom



Repeat the first record exactly.
Below is CaPm2Ge after structural relaxation, with properties calculated at the PBE-GGA level.

Results
energy above the lowest structure with this stoichiometry: 21 meV per atom
total DFT energy (no corrections): -4.31 eV/atom
crystal system: trigonal

a b c (Å): 10.151 10.151 10.151
angles (deg): 23.50 23.50 23.50
Fractional coordinates of all 4 atoms:
Ca1 0.000 0.000 0.000
Pm1 0.555 0.555 0.555
Pm2 0.776 0.776 0.776
Ge1 0.165 0.165 0.165



Question: Which of these has the highest total DFT energy (no corrections)?
Answer: CaPm2Ge